Record 1
A plane-wave DFT calculation with PBE was carried out for a relaxed AgSbPb crystal.

Cell: 6.573 4.561 10.551 Å, 90.00 90.00 90.00°
Fractional positions:
Ag 0.819 0.250 0.217
Ag 0.319 0.250 0.283
Ag 0.681 0.750 0.717
Ag 0.181 0.750 0.783
Pb 0.144 0.750 0.112
Pb 0.644 0.750 0.388
Pb 0.356 0.250 0.612
Pb 0.856 0.250 0.888
Sb 0.649 0.750 0.082
Sb 0.149 0.750 0.418
Sb 0.851 0.250 0.582
Sb 0.351 0.250 0.918

Output
For the polymorph energy (0 for the lowest one), the calculation gives 108 meV/atom. As for the space group: Pnma. The crystal system is orthorhombic.

Record 2
A plane-wave DFT calculation with PBE was carried out for a relaxed SrLiNbPd crystal.

Cell: 4.932 4.932 4.932 Å, 60.00 60.00 60.00°
Fractional positions:
Li 0.750 0.750 0.750
Nb 0.500 0.500 0.500
Pd 0.250 0.250 0.250
Sr 0.000 0.000 0.000

Output
The value obtained for the total moment is 1.914 μB/f.u. For the polymorph energy (0 for the lowest one), the calculation gives 4 meV/atom. As for the space group: F-43m. The crystal system is cubic.

Record 3
A plane-wave DFT calculation with PBE was carried out for a relaxed DySi3Ni4 crystal.

Cell: 5.036 3.842 5.786 Å, 90.00 98.33 90.00°
Fractional positions:
Dy 0.700 0.000 0.702
Ni 0.247 0.000 0.032
Ni 0.586 0.500 0.047
Ni 0.877 0.500 0.418
Ni 0.183 0.000 0.492
Si 0.830 0.000 0.188
Si 0.370 0.500 0.357
Si 0.207 0.500 0.765

Output
The value obtained for the total moment is 0.008 μB/f.u. The calculation puts the total energy at -47.228 eV per cell. As for the space group: Pm. The crystal system is monoclinic.

Record 4
A plane-wave DFT calculation with PBE was carried out for a relaxed ZrSn2Au crystal.

Cell: 5.063 5.063 5.063 Å, 60.00 60.00 60.00°
Fractional positions:
Au 0.500 0.500 0.500
Sn 0.000 0.000 0.000
Sn 0.250 0.250 0.250
Zr 0.750 0.750 0.750

Output
The value obtained for the total moment is 0.055 μB/f.u. For the polymorph energy (0 for the lowest one), the calculation gives 360 meV/atom. As for the space group: F-43m. The crystal system is cubic.

Record 5
A plane-wave DFT calculation with PBE was carried out for a relaxed Hf2ZrNi3As4Pd crystal.

Cell: 6.440 3.843 7.469 Å, 90.00 90.84 90.00°
Fractional positions:
As 0.248 0.500 0.129
As 0.764 0.500 0.380
As 0.225 0.000 0.619
As 0.778 0.000 0.874
Hf 0.969 0.000 0.185
Hf 0.468 0.000 0.317
Ni 0.645 0.500 0.066
Ni 0.144 0.500 0.444
Ni 0.854 0.000 0.558
Pd 0.374 0.000 0.938
Zr 0.531 0.500 0.687

Output
The value obtained for the total moment is 0.008 μB/f.u. For the polymorph energy (0 for the lowest one), the calculation gives 12 meV/atom. As for the space group: Pm. The crystal system is monoclinic.

Record 6
A plane-wave DFT calculation with PBE was carried out for a relaxed LuThBe crystal.

Cell: 4.758 4.758 4.758 Å, 60.00 60.00 60.00°
Fractional positions:
Be 0.000 0.000 0.000
Lu 0.250 0.250 0.250
Th 0.750 0.750 0.750

Output
The value obtained for the total moment is 0.186 μB/f.u. For the polymorph energy (0 for the lowest one), the calculation gives 0 meV/atom. As for the space group: F-43m. The crystal system is cubic.

Record 7
A plane-wave DFT calculation with PBE was carried out for a relaxed ZrU crystal.

Cell: 5.821 9.193 5.008 Å, 90.00 90.00 90.01°
Fractional positions:
U 0.564 0.140 0.000
U 0.064 0.693 0.000
U 0.732 0.218 0.500
U 0.328 0.324 0.500
U 0.828 0.509 0.500
U 0.232 0.615 0.500
Zr 0.016 0.019 0.000
Zr 0.065 0.348 0.000
Zr 0.565 0.485 0.000
Zr 0.516 0.814 0.000
Zr 0.796 0.859 0.500
Zr 0.296 0.974 0.500

Output
The value obtained for the total moment is 0.520 μB/f.u. For the calculated formation energy, the calculation gives 0.19 eV/atom. For the polymorph energy (0 for the lowest one), the calculation gives 76 meV/atom. As for the space group: Pmc2_1. The crystal system is orthorhombic.

Record 8
A plane-wave DFT calculation with PBE was carried out for a relaxed Ho2FeSi2 crystal.

Cell: 5.612 5.612 9.918 Å, 117.16 117.16 43.10°
Fractional positions:
Fe 0.729 0.729 0.376
Fe 0.271 0.271 0.624
Ho 0.189 0.189 0.109
Ho 0.999 0.999 0.328
Ho 0.001 0.001 0.672
Ho 0.811 0.811 0.891
Si 0.500 0.500 0.127
Si 0.346 0.346 0.436
Si 0.654 0.654 0.564
Si 0.500 0.500 0.873

Output
The value obtained for the total moment is 0.008 μB/f.u. The calculation puts the total energy at -63.759 eV per cell. As for the space group: C2/m. The crystal system is monoclinic.

Record 9
A plane-wave DFT calculation with PBE was carried out for a relaxed LiCd2In crystal.

Cell: 4.892 4.892 4.892 Å, 60.00 60.00 60.00°
Fractional positions:
Cd 0.000 0.000 0.000
Cd 0.750 0.750 0.750
In 0.500 0.500 0.500
Li 0.250 0.250 0.250

Output
The calculation puts the total energy at -6.975 eV per cell. As for the space group: F-43m. The crystal system is cubic.

Record 10
A plane-wave DFT calculation with PBE was carried out for a relaxed La2NdHg3PtAu2 crystal.

Cell: 4.021 7.962 7.962 Å, 119.75 90.00 90.00°
Fractional positions:
Au 0.500 0.665 0.334
Au 0.500 0.334 0.665
Hg 0.500 0.259 0.003
Hg 0.500 0.003 0.259
Hg 0.500 0.739 0.739
La 0.000 0.609 0.001
La 0.000 0.001 0.609
Nd 0.000 0.391 0.391
Pt 0.000 0.999 0.999

Output
The value obtained for the total moment is 0.013 μB/f.u. For the calculated formation energy, the calculation gives -0.71 eV/atom. As for the space group: Amm2. The crystal system is orthorhombic.

Record 11
A plane-wave DFT calculation with PBE was carried out for a relaxed TlReAsO crystal.

Cell: 4.110 4.110 8.929 Å, 90.00 90.00 90.00°
Each line ends with the local moment (μB).
Fractional positions:
As 0.000 0.500 0.215  -0.03
As 0.500 0.000 0.785  -0.03
O 0.000 0.000 0.000  0.01
O 0.500 0.500 0.000  0.01
Re 0.500 0.000 0.064  0.38
Re 0.000 0.500 0.936  0.38
Tl 0.000 0.000 0.500  0.00
Tl 0.500 0.500 0.500  0.00

Output
The value obtained for the total moment is 0.376 μB/f.u. For the polymorph energy (0 for the lowest one), the calculation gives 614 meV/atom. As for the space group: P4/nmm. The crystal system is tetragonal.

Record 12
A plane-wave DFT calculation with PBE was carried out for a relaxed PrHfAsO crystal.

Cell: 4.194 5.131 7.259 Å, 90.00 90.00 90.00°
Fractional positions:
As 0.000 0.849 0.291
As 0.000 0.151 0.791
Hf 0.000 0.360 0.441
Hf 0.000 0.640 0.941
O 0.500 0.355 0.437
O 0.500 0.645 0.937
Pr 0.500 0.155 0.085
Pr 0.500 0.845 0.585

Output
The value obtained for the total moment is 0.000 μB/f.u. For the polymorph energy (0 for the lowest one), the calculation gives 0 meV/atom. As for the space group: Pmc2_1. The crystal system is orthorhombic.

Record 13
A plane-wave DFT calculation with PBE was carried out for a relaxed NaTbFeSe3 crystal.

Cell: 11.206 4.154 12.027 Å, 90.00 90.00 90.00°
Each line ends with the local moment (μB).
Fractional positions:
Fe 0.747 0.750 0.215  3.18
Fe 0.247 0.750 0.285  3.20
Fe 0.753 0.250 0.715  3.20
Fe 0.253 0.250 0.785  3.18
Na 0.825 0.250 0.003  0.00
Na 0.325 0.250 0.497  0.00
Na 0.675 0.750 0.503  0.00
Na 0.175 0.750 0.997  0.00
Se 0.606 0.750 0.062  0.11
Se 0.949 0.750 0.149  0.12
Se 0.215 0.250 0.183  0.15
Se 0.715 0.250 0.317  0.15
Se 0.449 0.750 0.351  0.12
Se 0.106 0.750 0.438  0.11
Se 0.894 0.250 0.562  0.11
Se 0.551 0.250 0.649  0.12
Se 0.285 0.750 0.683  0.15
Se 0.785 0.750 0.817  0.15
Se 0.051 0.250 0.851  0.12
Se 0.394 0.250 0.938  0.11
Tb 0.481 0.250 0.184  0.03
Tb 0.981 0.250 0.316  0.03
Tb 0.019 0.750 0.684  0.03
Tb 0.519 0.750 0.816  0.03

Output
The value obtained for the total moment is 3.997 μB/f.u. For the polymorph energy (0 for the lowest one), the calculation gives 52 meV/atom. As for the space group: Pnma. The crystal system is orthorhombic.

Record 14
A plane-wave DFT calculation with PBE was carried out for a relaxed Gd2Be2SiGe crystal.

Cell: 3.920 3.920 8.185 Å, 90.00 90.00 120.00°
Fractional positions:
Be 0.333 0.667 0.000
Be 0.000 0.000 0.500
Gd 0.667 0.333 0.252
Gd 0.667 0.333 0.748
Ge 0.000 0.000 0.000
Si 0.333 0.667 0.500

Output
The value obtained for the total moment is 0.034 μB/f.u. The calculation puts the total energy at -30.801 eV per cell. As for the space group: P-6m2. The crystal system is hexagonal.

Record 15
A plane-wave DFT calculation with PBE was carried out for a relaxed PrGd2Ge3PdPt2 crystal.

Cell: 3.982 7.341 7.341 Å, 120.35 90.00 90.00°
Fractional positions:
Gd 0.000 0.999 0.407
Gd 0.000 0.407 0.999
Ge 0.500 0.749 0.003
Ge 0.500 0.249 0.249
Ge 0.500 0.003 0.749
Pd 0.000 0.006 0.006
Pr 0.000 0.590 0.590
Pt 0.500 0.669 0.327
Pt 0.500 0.327 0.669

Output
The value obtained for the total moment is 0.001 μB/f.u. The calculation puts the total energy at -54.011 eV per cell. As for the space group: Amm2. The crystal system is orthorhombic.

Record 16
A plane-wave DFT calculation with PBE was carried out for a relaxed PAu3S4 crystal.

Cell: 8.280 7.220 6.488 Å, 90.00 90.00 90.00°
Fractional positions:
Au 0.184 0.201 0.081
Au 0.816 0.201 0.081
Au 0.000 0.004 0.481
Au 0.316 0.799 0.581
Au 0.684 0.799 0.581
Au 0.500 0.996 0.981
P 0.500 0.225 0.457
P 0.000 0.775 0.957
S 0.000 0.740 0.269
S 0.500 0.935 0.348
S 0.289 0.350 0.366
S 0.711 0.350 0.366
S 0.500 0.260 0.769
S 0.000 0.065 0.848
S 0.211 0.650 0.866
S 0.789 0.650 0.866

Output
The calculation puts the total energy at -63.638 eV per cell. As for the space group: Pmn2_1. The crystal system is orthorhombic.

Record 17
A plane-wave DFT calculation with PBE was carried out for a relaxed Nd3Mg3CdIn2 crystal.

Cell: 4.751 7.702 7.702 Å, 119.93 90.00 90.00°
Fractional positions:
Cd 0.000 0.999 0.999
In 0.500 0.667 0.334
In 0.500 0.334 0.667
Mg 0.500 0.760 0.000
Mg 0.500 0.239 0.239
Mg 0.500 0.000 0.760
Nd 0.000 0.422 0.000
Nd 0.000 0.000 0.422
Nd 0.000 0.578 0.578

Output
The value obtained for the total moment is 0.024 μB/f.u. The calculation puts the total energy at -28.818 eV per cell. As for the space group: Amm2. The crystal system is orthorhombic.

Record 18
A plane-wave DFT calculation with PBE was carried out for a relaxed CsLu2CuTeSe3 crystal.

Cell: 7.708 7.708 14.414 Å, 90.00 90.00 148.40°
Fractional positions:
Cs 0.606 0.394 0.250
Cs 0.394 0.606 0.750
Cu 0.335 0.665 0.250
Cu 0.665 0.335 0.750
Lu 0.858 0.142 0.067
Lu 0.858 0.142 0.433
Lu 0.142 0.858 0.567
Lu 0.142 0.858 0.933
Se 0.241 0.759 0.106
Se 0.920 0.080 0.250
Se 0.241 0.759 0.394
Se 0.759 0.241 0.606
Se 0.080 0.920 0.750
Se 0.759 0.241 0.894
Te 0.500 0.500 0.000
Te 0.500 0.500 0.500

Output
The value obtained for the total moment is 0.002 μB/f.u. For the polymorph energy (0 for the lowest one), the calculation gives 0 meV/atom. As for the space group: Cmcm. The crystal system is orthorhombic.

Record 19
A plane-wave DFT calculation with PBE was carried out for a relaxed NaHfGaPd crystal.

Cell: 4.700 4.700 4.700 Å, 60.00 60.00 60.00°
Fractional positions:
Ga 0.000 0.000 0.000
Hf 0.250 0.250 0.250
Na 0.750 0.750 0.750
Pd 0.500 0.500 0.500

Output
The value obtained for the total moment is 0.001 μB/f.u. For the polymorph energy (0 for the lowest one), the calculation gives 27 meV/atom. As for the space group: F-43m. The crystal system is cubic.

Record 20
A plane-wave DFT calculation with PBE was carried out for a relaxed LuAgMo crystal.

Cell: 4.578 4.578 4.578 Å, 60.00 60.00 60.00°
Fractional positions:
Ag 0.000 0.000 0.000
Lu 0.250 0.250 0.250
Mo 0.750 0.750 0.750

Output
The value obtained for the total moment is 2.664 μB/f.u. For the calculated formation energy, the calculation gives 0.85 eV/atom. For the polymorph energy (0 for the lowest one), the calculation gives 0 meV/atom. As for the space group: F-43m. The crystal system is cubic.